(1)
First-principles (PBE+U) data for an optimized crystal structure of NaVO2, as listed in Alexandria via LeMat-Bulk.

Structure (CIF):
```
data_NaVO2
_chemical_formula_sum 'Na2 V2 O4'
_symmetry_space_group_name_H-M 'C 1 2/m 1'
_symmetry_Int_Tables_number 12
_cell_length_a 5.333
_cell_length_b 3.019
_cell_length_c 5.622
_cell_angle_alpha 90.00
_cell_angle_beta 90.79
_cell_angle_gamma 90.00
loop_
_symmetry_equiv_pos_as_xyz
'x,y,z'
'-x,-y,-z'
'-x,y,-z'
'x,-y,z'
'x+1/2,y+1/2,z'
'-x+1/2,-y+1/2,-z'
'-x+1/2,y+1/2,-z'
'x+1/2,-y+1/2,z'
loop_
_atom_site_label
_atom_site_fract_x
_atom_site_fract_y
_atom_site_fract_z
Na1 0.000 0.000 0.000
V1 0.000 0.000 0.500
O1 0.166 0.500 0.698
```


(2)
First-principles (PBE+U) data for an optimized crystal structure of Na2VO3, as listed in Alexandria via LeMat-Bulk.

Structure (CIF):
```
data_Na2VO3
_chemical_formula_sum 'Na8 V4 O12'
_symmetry_space_group_name_H-M 'C m c 21'
_symmetry_Int_Tables_number 36
_cell_length_a 11.121
_cell_length_b 6.377
_cell_length_c 4.950
_cell_angle_alpha 90.00
_cell_angle_beta 90.00
_cell_angle_gamma 90.00
loop_
_symmetry_equiv_pos_as_xyz
'x,y,z'
'-x,-y,z+1/2'
'-x,y,z'
'x,-y,z+1/2'
'x+1/2,y+1/2,z'
'-x+1/2,-y+1/2,z+1/2'
'-x+1/2,y+1/2,z'
'x+1/2,-y+1/2,z+1/2'
loop_
_atom_site_label
_atom_site_fract_x
_atom_site_fract_y
_atom_site_fract_z
Na1 0.166 0.165 0.000
V1 0.000 0.330 0.465
O1 0.000 0.386 0.086
O2 0.139 0.200 0.520
```


(3)
First-principles (PBE+U) data for an optimized crystal structure of Na2VO, as listed in Alexandria via LeMat-Bulk.

Structure (CIF):
```
data_Na2VO
_chemical_formula_sum 'Na8 V4 O4'
_symmetry_space_group_name_H-M 'F m -3 m'
_symmetry_Int_Tables_number 225
_symmetry_space_group_name_Hall '-F 4 2 3'
_cell_length_a 6.673
_cell_length_b 6.673
_cell_length_c 6.673
_cell_angle_alpha 90.00
_cell_angle_beta 90.00
_cell_angle_gamma 90.00
loop_
_atom_site_label
_atom_site_fract_x
_atom_site_fract_y
_atom_site_fract_z
Na1 0.250 0.250 0.250
V1 0.000 0.000 0.000
O1 0.000 0.000 0.500
```


(4)
First-principles (PBE+U) data for an optimized crystal structure of Na2VO3, as listed in Alexandria via LeMat-Bulk.

Structure (CIF):
```
data_Na2VO3
_chemical_formula_sum 'Na8 V4 O12'
_symmetry_space_group_name_H-M 'C 1 2/m 1'
_symmetry_Int_Tables_number 12
_cell_length_a 5.305
_cell_length_b 9.418
_cell_length_c 5.689
_cell_angle_alpha 90.00
_cell_angle_beta 107.82
_cell_angle_gamma 90.00
loop_
_symmetry_equiv_pos_as_xyz
'x,y,z'
'-x,-y,-z'
'-x,y,-z'
'x,-y,z'
'x+1/2,y+1/2,z'
'-x+1/2,-y+1/2,-z'
'-x+1/2,y+1/2,-z'
'x+1/2,-y+1/2,z'
loop_
_atom_site_label
_atom_site_fract_x
_atom_site_fract_y
_atom_site_fract_z
Na1 0.000 0.000 0.000
Na2 0.000 0.159 0.500
Na3 0.000 0.500 0.500
V1 0.000 0.338 0.000
O1 0.197 0.500 0.204
O2 0.226 0.315 0.799
```


How do the records compare in calculated volume? In the order shown, they have 11.31; 14.63; 18.57; 11.28 Å³/atom.
How do the records compare in total DFT energy (no corrections)? In the order shown, they have -52.6; -145.6; -51.3; -145.1 eV/cell.